Computed, not measured: an optimized crystal structure of Ce3TiAg3S8 at the PBE level of DFT.

```
data_Ce3TiAg3S8
_chemical_formula_sum 'Ce3 Ti1 Ag3 S8'
_symmetry_space_group_name_H-M 'P 1'
_symmetry_Int_Tables_number 1
_cell_length_a 8.063
_cell_length_b 8.060
_cell_length_c 7.713
_cell_angle_alpha 121.65
_cell_angle_beta 90.00
_cell_angle_gamma 120.01
loop_
_symmetry_equiv_pos_as_xyz
'x,y,z'
loop_
_atom_site_label
_atom_site_type_symbol
_atom_site_fract_x
_atom_site_fract_y
_atom_site_fract_z
_atom_site_occupancy
S1 S 0.773 0.001 0.728 1
S2 S 0.228 0.001 0.728 1
S3 S 0.250 0.500 0.251 1
S4 S 0.772 0.544 0.272 1
S5 S 0.772 0.999 0.272 1
S6 S 0.228 0.456 0.728 1
S7 S 0.750 0.500 0.749 1
S8 S 0.227 0.999 0.272 1
Ag1 Ag 0.000 0.000 0.000 1
Ag2 Ag 0.000 0.500 0.000 1
Ag3 Ag 0.500 0.500 0.000 1
Ce1 Ce 0.500 0.000 0.500 1
Ce2 Ce 0.500 0.500 0.500 1
Ce3 Ce 0.000 0.500 0.500 1
Ti1 Ti 0.000 0.000 0.500 1
```

Values from the calculation:
Formation energy from raw total energies, eV per formula unit: -18.1